[1]
This record from the Alexandria database describes an optimized crystal structure of CdMo2PdS. The functional is PBE.

Computed properties:
ΔE_f (raw) in eV/atom: 1.49
Symmetry: P4/mmm

abc: 5.1843 5.1843 4.4593
angles: 90.00 90.00 90.00
Last column: nearest neighbours and their distance in Å.
Positions (direct):
Cd  0.0000  0.0000  0.0000  8 Mo 3.42, 4 S 3.67
Mo  0.0000  0.5000  0.5000  2 Pd 2.59
Mo  0.5000  0.0000  0.5000  2 Pd 2.59
Pd  0.5000  0.5000  0.5000  2 S 2.23
S  0.5000  0.5000  0.0000  2 Pd 2.23

=====

[2]
This record from the Alexandria database describes an optimized crystal structure of SrRhClO2. The functional is PBE.

Computed properties:
ΔE_f (raw) in eV/atom: -1.46
Symmetry: P4mm

abc: 3.9892 3.9892 5.8226
angles: 90.00 90.00 90.00
Last column: nearest neighbours and their distance in Å.
Positions (direct):
Sr  0.0000  0.0000  0.0000  4 O 2.48
Rh  0.5000  0.5000  0.3045  4 O 2.02
Cl  0.5000  0.5000  0.7615  1 Rh 2.66
O  0.0000  0.5000  0.2540  2 Rh 2.02
O  0.5000  0.0000  0.2540  2 Rh 2.02

=====

[3]
This record from the Alexandria database describes an optimized crystal structure of ZrBePb2. The functional is PBE.

Computed properties:
Energy relative to the elements in eV/atom: 0.153
Symmetry: P4mm

abc: 3.1652 3.1652 9.7755
angles: 90.00 90.00 90.00
Last column: nearest neighbours and their distance in Å.
Positions (direct):
Zr  0.0000  0.0000  0.0000  4 Be 2.73
Be  0.5000  0.5000  0.1601  4 Zr 2.73, 4 Pb 2.96
Pb  0.0000  0.0000  0.3589  4 Be 2.96, 4 Pb 3.17
Pb  0.5000  0.5000  0.7368  4 Pb 3.17, 4 Zr 3.41

=====

[4]
This record from the Alexandria database describes an optimized crystal structure of Pm12TmPb7. The functional is PBE.

Computed properties:
Energy relative to the elements in eV/atom: -0.272
Symmetry: R-3m

abc: 9.6266 9.6266 9.6266
angles: 110.90 110.90 110.90
Last column: nearest neighbours and their distance in Å.
Positions (direct):
Pm  0.0000  0.2768  0.7232  4 Pb 3.20-3.50, 2 Pm 3.36
Pm  0.0000  0.7232  0.2768  4 Pb 3.20-3.50, 2 Pm 3.36
Pm  0.1622  0.4984  0.4984  1 Pm 3.14, 4 Pb 3.23-3.40
Pm  0.2768  0.0000  0.7232  4 Pb 3.20-3.50, 2 Pm 3.36
Pm  0.2768  0.7232  0.0000  4 Pb 3.20-3.50, 2 Pm 3.36
Pm  0.4984  0.1622  0.4984  1 Pm 3.14, 4 Pb 3.23-3.40
Pm  0.4984  0.4984  0.1622  1 Pm 3.14, 4 Pb 3.23-3.40
Pm  0.5016  0.5016  0.8378  1 Pm 3.14, 4 Pb 3.23-3.40
Pm  0.5016  0.8378  0.5016  1 Pm 3.14, 4 Pb 3.23-3.40
Pm  0.7232  0.0000  0.2768  4 Pb 3.20-3.50, 2 Pm 3.36
Pm  0.7232  0.2768  0.0000  4 Pb 3.20-3.50, 2 Pm 3.36
Pm  0.8378  0.5016  0.5016  1 Pm 3.14, 4 Pb 3.23-3.40
Tm  0.0000  0.0000  0.0000  6 Pb 3.47
Pb  0.1334  0.1334  0.4361  7 Pm 3.20-3.50, 1 Tm 3.47
Pb  0.1334  0.4361  0.1334  7 Pm 3.20-3.50, 1 Tm 3.47
Pb  0.4361  0.1334  0.1334  7 Pm 3.20-3.50, 1 Tm 3.47
Pb  0.5000  0.5000  0.5000  6 Pm 3.24
Pb  0.5638  0.8666  0.8666  7 Pm 3.20-3.50, 1 Tm 3.47
Pb  0.8666  0.5639  0.8666  7 Pm 3.20-3.50, 1 Tm 3.47
Pb  0.8666  0.8666  0.5639  7 Pm 3.20-3.50, 1 Tm 3.47

=====

[5]
This record from the Alexandria database describes an optimized crystal structure of Rb3Sc2SnS6. The functional is PBE.

Computed properties:
ΔE_f (raw) in eV/atom: -1.37
Symmetry: C2/m

abc: 6.8391 6.8391 7.9188
angles: 98.27 98.27 120.01
Last column: nearest neighbours and their distance in Å.
Positions (direct):
Rb  0.0000  0.0000  0.0000  6 S 3.26-3.33
Rb  0.3358  0.6642  0.0000  6 S 3.27-3.33
Rb  0.6642  0.3358  0.0000  6 S 3.27-3.33
Sc  0.1670  0.8330  0.5000  6 S 2.64
Sc  0.8330  0.1670  0.5000  6 S 2.64
Sn  0.5000  0.5000  0.5000  6 S 2.74
S  0.0938  0.4384  0.3153  2 Sc 2.64, 1 Sn 2.74
S  0.2167  0.2167  0.6839  2 Sc 2.64, 1 Sn 2.74
S  0.4384  0.0938  0.3153  2 Sc 2.64, 1 Sn 2.74
S  0.5616  0.9062  0.6847  2 Sc 2.64, 1 Sn 2.74
S  0.7833  0.7833  0.3161  2 Sc 2.64, 1 Sn 2.74
S  0.9062  0.5616  0.6847  2 Sc 2.64, 1 Sn 2.74

=====

[6]
This record from the Alexandria database describes an optimized crystal structure of CsInClF2. The functional is PBE.

Computed properties:
ΔE_f (raw) in eV/atom: -2.03
Symmetry: P4/mmm

abc: 4.7384 4.7384 5.4747
angles: 90.00 90.00 90.00
Last column: nearest neighbours and their distance in Å.
Positions (direct):
Cs  0.0000  0.0000  0.0000  4 Cl 3.35, 8 F 3.62
In  0.5000  0.5000  0.5000  4 F 2.37
Cl  0.5000  0.5000  0.0000  2 In 2.74
F  0.0000  0.5000  0.5000  2 In 2.37
F  0.5000  0.0000  0.5000  2 In 2.37

=====

[7]
This record from the Alexandria database describes an optimized crystal structure of Sc3Fe4. The functional is PBE.

Computed properties:
ΔE to the lowest computed polymorph in meV/atom: 532.8
Energy relative to the elements in eV/atom: 0.533
Symmetry: P6/mmm

abc: 5.5516 5.5516 4.4363
angles: 90.00 90.00 120.00
Last column: nearest neighbours and their distance in Å.
Positions (direct):
Sc  0.0000  0.5000  0.0000  8 Fe 2.74-2.99, 4 Sc 2.78
Sc  0.5000  0.0000  0.0000  8 Fe 2.74-2.99, 4 Sc 2.78
Sc  0.5000  0.5000  0.0000  8 Fe 2.74-2.99, 4 Sc 2.78
Fe  0.0000  0.0000  0.2515  2 Fe 2.20-2.23
Fe  0.0000  0.0000  0.7485  2 Fe 2.20-2.23
Fe  0.3333  0.6667  0.5000  6 Sc 2.74
Fe  0.6667  0.3333  0.5000  6 Sc 2.74

=====

[8]
This record from the Alexandria database describes an optimized crystal structure of K4ScPa3Te8. The functional is PBE.

Computed properties:
ΔE_f (raw) in eV/atom: -1.00
Symmetry: R-3m

abc: 9.8412 9.8412 9.8412
angles: 52.90 52.90 52.90
Last column: nearest neighbours and their distance in Å.
Positions (direct):
K  0.0000  0.0000  0.0000  6 Te 3.58
K  0.0000  0.5000  0.5000  6 Te 3.47-3.49
K  0.5000  0.0000  0.5000  6 Te 3.47-3.49
K  0.5000  0.5000  0.0000  6 Te 3.47-3.49
Sc  0.5000  0.5000  0.5000  6 Te 3.02
Pa  0.0000  0.0000  0.5000  6 Te 3.12-3.13
Pa  0.0000  0.5000  0.0000  6 Te 3.12-3.13
Pa  0.5000  0.0000  0.0000  6 Te 3.12-3.13
Te  0.2395  0.2395  0.2395  3 Pa 3.13, 3 K 3.47
Te  0.2476  0.7310  0.7310  1 Sc 3.02, 2 Pa 3.12
Te  0.2690  0.2690  0.7524  1 Sc 3.02, 2 Pa 3.12
Te  0.2690  0.7524  0.2690  1 Sc 3.02, 2 Pa 3.12
Te  0.7310  0.2476  0.7310  1 Sc 3.02, 2 Pa 3.12
Te  0.7310  0.7310  0.2476  1 Sc 3.02, 2 Pa 3.12
Te  0.7524  0.2690  0.2690  1 Sc 3.02, 2 Pa 3.12
Te  0.7605  0.7605  0.7605  3 Pa 3.13, 3 K 3.47

=====

M_tot, respectively: 7.899 1.561 0.000 0.000 0.000 0.000 7.084 5.922 Bohr magnetons per cell.
Total energy, respectively: -24.441 -28.094 -19.077 -92.878 -60.744 -19.341 -49.115 -80.307 eV per cell.